The following is a PBE calculation of a geometry-optimized Np4Ni structure, from the Alexandria database.

Calculated values
Magnetic moment in μB/cell: 19.08
E in eV per atom: -10.519
Calculated volume in Å³/f.u.: 135.97
Space group: No. 221
ΔH_f (0 K) in meV/atom: 990.0

Unit cell a=5.142 b=5.142 c=5.142 alpha=90.00 beta=90.00 gamma=90.00
Element x y z (fractional)
1 Np 0.000 0.500 0.500
2 Np 0.500 0.500 0.000
3 Np 0.500 0.000 0.500
4 Np 0.000 0.000 0.000
5 Ni 0.500 0.500 0.500